No. 1
Entry from Alexandria via LeMat-Bulk: crystalline Ca3Mg5 at its relaxed geometry (PBEsol).

Cell lengths 6.768, 6.768, 5.002 Å; angles 90.00, 90.00, 98.90 degrees
Fractional coordinates of all 8 atoms:
Ca1 0.000 0.000 0.000
Ca2 0.259 0.741 0.500
Ca3 0.741 0.259 0.500
Mg1 0.000 0.500 0.000
Mg2 0.256 0.256 0.500
Mg3 0.500 0.000 0.000
Mg4 0.500 0.500 0.000
Mg5 0.744 0.744 0.500

Output
The calculation puts the electronic total energy at -15.3 eV per cell. The space group is No. 65. The formation enthalpy at 0 K comes out at -0.042 eV per atom. The calculation puts the volume at 226.37 Å³/cell. For the spin magnetization, the calculation gives 0.000 μB/atom.

=====

No. 2
Entry from Alexandria via LeMat-Bulk: crystalline SrLa2Ga2 at its relaxed geometry (PBEsol).

Cell lengths 8.634, 8.634, 3.906 Å; angles 90.00, 90.00, 90.00 degrees
Fractional coordinates of all 10 atoms:
Sr1 0.000 0.000 0.000
Sr2 0.500 0.500 0.000
La1 0.171 0.329 0.500
La2 0.329 0.829 0.500
La3 0.671 0.171 0.500
La4 0.829 0.671 0.500
Ga1 0.119 0.619 0.000
Ga2 0.381 0.119 0.000
Ga3 0.619 0.881 0.000
Ga4 0.881 0.381 0.000

Output
The calculation puts the electronic total energy at -42.3 eV per cell. The space group is No. 127. The formation enthalpy at 0 K comes out at -0.383 eV per atom. The calculation puts the volume at 291.15 Å³/cell. For the spin magnetization, the calculation gives 0.000 μB/atom.

=====

No. 3
Entry from Alexandria via LeMat-Bulk: crystalline BePbSe2 at its relaxed geometry (PBEsol).

Cell lengths 3.578, 3.578, 7.298 Å; angles 90.00, 90.00, 90.00 degrees
Fractional coordinates of all 4 atoms:
Be1 0.000 0.000 0.000
Pb1 0.500 0.500 0.496
Se1 0.000 0.000 0.304
Se2 0.500 0.500 0.930

Output
The calculation puts the electronic total energy at -16.4 eV per cell. The energy above the most stable polymorph in this dataset is 0.65 eV per formula unit. The space group is No. 99. The calculation puts the volume at 93.44 Å³/cell. For the spin magnetization, the calculation gives 0.000 μB/atom. As for the energy relative to the elements, uncorrected: -173 meV per atom.

=====

No. 4
Entry from Alexandria via LeMat-Bulk: crystalline EuCuW2O8 at its relaxed geometry (PBEsol).

Cell lengths 4.929, 6.084, 6.171 Å; angles 69.02, 87.94, 66.14 degrees
Fractional coordinates of all 12 atoms:
Eu1 0.000 0.000 0.000
Cu1 0.500 0.000 0.500
W1 0.236 0.526 0.665
W2 0.764 0.474 0.335
O1 0.166 0.296 0.487
O2 0.213 0.296 0.934
O3 0.259 0.777 0.744
O4 0.349 0.690 0.330
O5 0.651 0.310 0.670
O6 0.741 0.223 0.256
O7 0.787 0.704 0.066
O8 0.834 0.704 0.513

Output
The calculation puts the electronic total energy at -109.9 eV per cell. The space group is No. 2. The calculation puts the volume at 156.73 Å³/cell. For the spin magnetization, the calculation gives 0.499 μB/atom. As for the energy relative to the elements, uncorrected: -2118 meV per atom.

=====

No. 5
Entry from Alexandria via LeMat-Bulk: crystalline TaCdCu2 at its relaxed geometry (PBEsol).

Cell lengths 4.665, 4.665, 2.751 Å; angles 90.00, 90.00, 90.00 degrees
Fractional coordinates of all 4 atoms:
Ta1 0.000 0.000 0.000
Cd1 0.500 0.500 0.000
Cu1 0.000 0.500 0.500
Cu2 0.500 0.000 0.500

Output
The calculation puts the electronic total energy at -21.5 eV per cell. The space group is No. 123. The formation enthalpy at 0 K comes out at 0.240 eV per atom. The calculation puts the volume at 59.85 Å³/cell. For the spin magnetization, the calculation gives 0.000 μB/atom.

=====

No. 6
Entry from Alexandria via LeMat-Bulk: crystalline Cu3RhN at its relaxed geometry (PBEsol).

Cell lengths 3.797, 3.797, 3.797 Å; angles 90.00, 90.00, 90.00 degrees
Fractional coordinates of all 5 atoms:
Cu1 0.000 0.000 0.500
Cu2 0.000 0.500 0.000
Cu3 0.500 0.000 0.000
Rh1 0.500 0.500 0.500
N1 0.000 0.000 0.000

Output
The calculation puts the electronic total energy at -28.3 eV per cell. The space group is No. 221. The calculation puts the volume at 54.75 Å³/cell. For the spin magnetization, the calculation gives 0.007 μB/atom. As for the energy relative to the elements, uncorrected: 282 meV per atom.